# TaTi2Se

An optimized crystal structure of TaTi2Se (PBE-GGA, Alexandria via LeMat-Bulk).

Uncorrected energy in eV/atom: -7.685
Formation energy (no corrections) in meV per atom: 96

Lattice parameters (Å, degrees): 7.5569 7.5569 5.1455 90.00 90.00 90.00
Last column: nearest neighbours and their distance in Å.
Space group I-42d (No. 122)
One atom of each set of equivalent atoms:
Ta: 0.0000 0.0000 0.0000  2 Se 2.57
Ti: 0.1995 0.2500 0.6250  2 Se 2.50, 2 Ti 2.68
Se: 0.0000 0.0000 0.5000  4 Ti 2.50, 2 Ta 2.57